[1]
The following is a PBE calculation of an optimized crystal structure of NdEuCuSi, from Alexandria via LeMat-Bulk.

```
NdEuCuSi
1.0
-1.485 3.373 3.575
-0.065 -1.366 4.950
3.445 1.976 3.255
Eu Si Nd Cu
1 1 1 1
Cartesian
0.947 1.991 5.890
1.421 2.987 8.835
0.000 0.000 0.000
0.474 0.996 2.945
```

Computed properties:
The size of the total moment comes out at 7.23 Bohr magnetons per cell. The calculated volume is 23.94 Å³ per atom. The formation energy without anion corrections is -333.3 meV per atom. The space group is F-43m (216). The value obtained for the total energy is -6.47 eV per atom.

[2]
The following is a PBE calculation of an optimized crystal structure of K2YAg, from Alexandria via LeMat-Bulk.

```
K2YAg
1.0
-2.757 0.169 6.483
-1.075 -5.284 -4.537
2.959 -1.721 1.303
K Ag Y
2 1 1
Cartesian
-1.916 -2.557 0.973
0.000 0.000 0.000
0.942 -3.502 -1.617
0.101 -0.776 3.893
```

Computed properties:
As for the formation energy: 0.49 eV/atom. The size of the total moment comes out at 0.00 Bohr magnetons per cell. The calculated volume is 37.95 Å³ per atom. Its energy above the most stable polymorph in this dataset is 0.4051 eV per atom. The space group is Cmmm (65). The value obtained for the total energy is -2.38 eV per atom.

[3]
The following is a PBE calculation of an optimized crystal structure of SrLiRe2, from Alexandria via LeMat-Bulk.

```
SrLiRe2
1.0
2.691 -0.087 0.000
-0.484 2.648 0.000
0.000 0.000 9.923
Re Li Sr
2 1 1
Cartesian
0.000 0.000 5.207
0.000 0.000 9.677
1.103 1.280 7.442
1.103 1.280 2.481
```

Computed properties:
As for the formation energy: 0.93 eV/atom. The size of the total moment comes out at 0.00 Bohr magnetons per cell. The calculated volume is 17.57 Å³ per atom. Its energy above the most stable polymorph in this dataset is 0.4879 eV per atom. The space group is Cmmm (65). The value obtained for the total energy is -6.19 eV per atom.

[4]
The following is a PBE calculation of an optimized crystal structure of LuSbRu2, from Alexandria via LeMat-Bulk.

```
LuSbRu2
1.0
3.376 0.000 0.000
0.000 4.535 0.000
0.000 0.000 4.535
Ru Sb Lu
2 1 1
Cartesian
0.000 0.000 2.268
0.000 2.268 0.000
1.688 0.000 0.000
1.688 2.268 2.268
```

Computed properties:
The size of the total moment comes out at 0.00 Bohr magnetons per cell. The calculated volume is 17.36 Å³ per atom. Its energy above the most stable polymorph in this dataset is 0.0563 eV per atom. The formation energy without anion corrections is -463.2 meV per atom. The space group is P4/mmm (123). The value obtained for the total energy is -7.26 eV per atom.

> What is the formula in the third record?

SrLiRe2

> What is the calculated volume in the first record?

23.94 Å³ per atom

What did the second record say?
The following is a PBE calculation of an optimized crystal structure of K2YAg, from Alexandria via LeMat-Bulk.

```
K2YAg
1.0
-2.757 0.169 6.483
-1.075 -5.284 -4.537
2.959 -1.721 1.303
K Ag Y
2 1 1
Cartesian
-1.916 -2.557 0.973
0.000 0.000 0.000
0.942 -3.502 -1.617
0.101 -0.776 3.893
```

Computed properties:
As for the formation energy: 0.49 eV/atom. The size of the total moment comes out at 0.00 Bohr magnetons per cell. The calculated volume is 37.95 Å³ per atom. Its energy above the most stable polymorph in this dataset is 0.4051 eV per atom. The space group is Cmmm (65). The value obtained for the total energy is -2.38 eV per atom.